Entry 1:
Density functional theory data (PBE) for a relaxed structure of YScBi2N.

Results
The calculation puts the formation energy from raw total energies at 115.0 kJ/mol of atoms. The calculation puts the total magnetic moment at 2.28 μB/f.u. As for the total energy: -4.58 eV per atom.

a b c (Å): 5.471 5.732 5.471
angles (deg): 90.00 90.00 90.00
Positions (direct):
Y (0.000, 0.500, 0.000)
Sc (0.000, 0.000, 0.000)
Bi (0.000, 0.000, 0.500)
Bi (0.500, 0.000, 0.000)
N (0.500, 0.500, 0.500)


Entry 2:
Density functional theory data (PBE) for a relaxed structure of La3Tb2Dy8.

Results
The calculation puts the total magnetic moment at 0.00 μB/f.u. As for the total energy: -4.60 eV per atom. The value obtained for the formation energy is 0.085 eV per atom. The offset from the most stable computed form is 0 meV per atom.

a b c (Å): 5.609 6.849 12.344
angles (deg): 69.29 103.14 90.02
Positions (direct):
La (0.000, 0.000, 0.000)
La (0.511, 0.271, 0.023)
La (0.489, 0.729, 0.977)
Tb (0.770, 0.648, 0.541)
Tb (0.230, 0.352, 0.459)
Dy (0.078, 0.439, 0.156)
Dy (0.922, 0.561, 0.844)
Dy (0.178, 0.905, 0.356)
Dy (0.822, 0.095, 0.644)
Dy (0.331, 0.818, 0.663)
Dy (0.376, 0.271, 0.751)
Dy (0.624, 0.729, 0.249)
Dy (0.669, 0.182, 0.337)


Entry 3:
Density functional theory data (PBE) for a relaxed structure of LaMn3Rh.

Results
The calculation puts the total magnetic moment at 11.92 μB/f.u. As for the total energy: -7.54 eV per atom. The value obtained for the formation energy is 0.420 eV per atom. The offset from the most stable computed form is 0 meV per atom.

a b c (Å): 4.833 4.833 4.833
angles (deg): 90.00 90.00 90.00
Positions (direct):
Mn (0.000, 0.500, 0.000)
Mn (0.000, 0.000, 0.500)
Mn (0.500, 0.000, 0.000)
Rh (0.000, 0.000, 0.000)
La (0.500, 0.500, 0.500)